# 1
First-principles (PBE) data for an optimized crystal structure of SrAgPdAu3, as listed in Alexandria via LeMat-Bulk.

Properties
E_form = -0.252 eV per atom

Cell lengths 6.8595, 13.5358, 5.7603 Å; angles 90.00, 90.00, 90.00 degrees
With the nearest neighbours (Å) after each atom.
Space group Cmcm (No. 63)
Inequivalent atoms, fractional coordinates:
1 Sr 0.0000 0.1958 0.2500 (multiplicity 4)  2 Pd 2.95, 1 Ag 3.00
2 Ag 0.0000 0.4177 0.2500 (multiplicity 4)  6 Au 2.74-3.01, 1 Sr 3.00
3 Pd 0.0000 0.1499 0.7500 (multiplicity 4)  5 Au 2.73-2.85, 2 Sr 2.95
4 Au 0.0000 0.3518 0.7500 (multiplicity 4)  1 Pd 2.73, 2 Ag 3.01
5 Au 0.2015 0.0000 0.0000 (multiplicity 8)  2 Ag 2.74, 3 Au 2.76-2.88, 2 Pd 2.85

=====

# 2
First-principles (PBE) data for an optimized crystal structure of Sr2Ag5Pd2Au, as listed in Alexandria via LeMat-Bulk.

Properties
E_form = -0.287 eV per atom

Cell lengths 9.9874, 9.9874, 4.2863 Å; angles 90.00, 90.00, 90.00 degrees
With the nearest neighbours (Å) after each atom.
Space group P4/mbm (No. 127)
Inequivalent atoms, fractional coordinates:
1 Sr 0.1766 0.3234 0.0000 (multiplicity 4)  3 Pd 2.85-3.03
2 Ag 0.0000 0.5000 0.5000 (multiplicity 2)  4 Pd 2.75, 4 Ag 3.06
3 Ag 0.0605 0.8001 0.5000 (multiplicity 8)  2 Pd 2.85, 3 Ag 2.95-3.06, 2 Au 2.99
4 Pd 0.1220 0.6220 0.0000 (multiplicity 4)  6 Ag 2.75-2.85, 3 Sr 2.85-3.03
5 Au 0.0000 0.0000 0.0000 (multiplicity 2)  8 Ag 2.99

=====

# 3
First-principles (PBE) data for an optimized crystal structure of Ag2Te2Pd7Au, as listed in Alexandria via LeMat-Bulk.

Cell lengths 5.3812, 5.3782, 15.7583 Å; angles 90.00, 99.82, 90.00 degrees
With the nearest neighbours (Å) after each atom.
Space group C2/m (No. 12)
Inequivalent atoms, fractional coordinates:
1 Ag 0.1347 0.0000 0.2716 (multiplicity 4)  5 Pd 2.81-2.82, 4 Te 3.15
2 Te 0.1871 0.5000 0.3767 (multiplicity 4)  5 Pd 2.64-2.94
3 Pd 0.0000 0.0000 0.0000 (multiplicity 2)  4 Au 2.69, 8 Pd 2.86-2.87
4 Pd 0.1816 0.2500 0.8621 (multiplicity 8)  6 Pd 2.69-2.87, 2 Ag 2.81-2.82, 2 Au 2.86-2.87
5 Pd 0.2260 0.0000 0.4530 (multiplicity 4)  5 Te 2.64-2.94, 1 Ag 2.82
6 Au 0.0000 0.5000 0.0000 (multiplicity 2)  12 Pd 2.69-2.87

=====

# 4
First-principles (PBE) data for an optimized crystal structure of ThAgPdAu, as listed in Alexandria via LeMat-Bulk.

Properties
E_form = -0.526 eV per atom

Cell lengths 7.0049, 7.0049, 7.0049 Å; angles 90.00, 90.00, 90.00 degrees
With the nearest neighbours (Å) after each atom.
Space group F-43m (No. 216)
Inequivalent atoms, fractional coordinates:
1 Th 0.0000 0.0000 0.0000 (multiplicity 4)  4 Pd 3.03, 4 Au 3.03
2 Ag 0.0000 0.0000 0.5000 (multiplicity 4)  4 Pd 3.03, 4 Au 3.03
3 Pd 0.2500 0.2500 0.2500 (multiplicity 4)  4 Th 3.03, 4 Ag 3.03
4 Au 0.2500 0.2500 0.7500 (multiplicity 4)  4 Th 3.03, 4 Ag 3.03

=====

# 5
First-principles (PBE) data for an optimized crystal structure of Tl2AgPd5Au2, as listed in Alexandria via LeMat-Bulk.

Properties
E_form = -0.006 eV per atom

Cell lengths 9.9427, 9.9427, 3.8288 Å; angles 90.00, 90.00, 90.00 degrees
With the nearest neighbours (Å) after each atom.
Space group P4/mbm (No. 127)
Inequivalent atoms, fractional coordinates:
1 Tl 0.1594 0.3406 0.0000 (multiplicity 4)  3 Au 2.74-3.04, 6 Pd 2.87-2.95
2 Ag 0.0000 0.0000 0.0000 (multiplicity 2)  8 Pd 2.80
3 Pd 0.0000 0.5000 0.5000 (multiplicity 2)  4 Au 2.80, 4 Pd 2.93, 4 Tl 2.95
4 Pd 0.0071 0.7947 0.5000 (multiplicity 8)  2 Au 2.79, 2 Ag 2.80, 2 Tl 2.87, 3 Pd 2.89-2.93
5 Au 0.1456 0.6456 0.0000 (multiplicity 4)  3 Tl 2.74-3.04, 6 Pd 2.79-2.80

=====

# 6
First-principles (PBE) data for an optimized crystal structure of TlAgPdAu, as listed in Alexandria via LeMat-Bulk.

Properties
E_form = -0.012 eV per atom

Cell lengths 6.6933, 6.6933, 6.6933 Å; angles 90.00, 90.00, 90.00 degrees
With the nearest neighbours (Å) after each atom.
Space group F-43m (No. 216)
Inequivalent atoms, fractional coordinates:
1 Tl 0.0000 0.0000 0.0000 (multiplicity 4)  4 Pd 2.90, 4 Ag 2.90
2 Ag 0.2500 0.2500 0.2500 (multiplicity 4)  4 Tl 2.90, 4 Au 2.90
3 Pd 0.2500 0.2500 0.7500 (multiplicity 4)  4 Au 2.90, 4 Tl 2.90
4 Au 0.0000 0.0000 0.5000 (multiplicity 4)  4 Ag 2.90, 4 Pd 2.90

=====

Total DFT energy (no corrections) in hartree per atom, matching the order above: -0.129 -0.126 -0.158 -0.192 -0.148 -0.126